A relaxed structure of LaHfZr2. Source: Alexandria, functional PBE.

Computed properties:
V = 104 Å³ per cell
DFT formation energy = 143 meV per atom
Total moment = 0.000 μB/f.u.

Structure (POSCAR):
```
LaHfZr2
1.0
3.804 0.000 0.000
0.000 3.804 0.000
0.000 0.000 7.217
La Hf Zr
1 1 2
Direct
0.000 0.000 0.000
0.000 0.000 0.500
0.500 0.500 0.296
0.500 0.500 0.704
```